a) A plane-wave DFT calculation with PBE-GGA was carried out for TaPbF2 after structural relaxation.

Cell: 4.454 4.454 14.237 Å, 90.00 90.00 90.00°
Space group I-42d (No. 122)
Asymmetric unit:
Ta1 0.000 0.000 0.000 (multiplicity 4)
Pb1 0.000 0.000 0.500 (multiplicity 4)
F1 0.068 0.250 0.125 (multiplicity 8)

***

b) A plane-wave DFT calculation with PBE-GGA was carried out for TaPbF2 after structural relaxation.

Cell: 3.2076 3.2076 29.2179 Å, 90.00 90.00 120.00°
Space group R-3m (No. 166, hexagonal axes)
Asymmetric unit:
Ta1 0.0000 0.0000 0.0000 (multiplicity 3)
Pb1 0.0000 0.0000 0.5000 (multiplicity 3)
F1 0.0000 0.0000 0.0651 (multiplicity 6)

***

It comes down to b), which is 0.376 eV/atom more stable than the next structure.

***

a) A plane-wave DFT calculation with PBE-GGA was carried out for TcPbF3 after structural relaxation.

Cell: 4.385 4.385 4.385 Å, 90.00 90.00 90.00°
Space group Pm-3m (No. 221)
Asymmetric unit:
Tc1 0.000 0.000 0.000 (multiplicity 1)
Pb1 0.500 0.500 0.500 (multiplicity 1)
F1 0.000 0.000 0.500 (multiplicity 3)

***

b) A plane-wave DFT calculation with PBE-GGA was carried out for TcPbF3 after structural relaxation.

Cell: 4.792 4.792 4.792 Å, 90.00 90.00 90.00°
Space group Pm-3m (No. 221)
Asymmetric unit:
Tc1 0.000 0.000 0.000 (multiplicity 1)
Pb1 0.500 0.500 0.500 (multiplicity 1)
F1 0.000 0.500 0.500 (multiplicity 3)

***

It comes down to a), which is 0.266 eV/atom more stable than the next structure.

***

a) A plane-wave DFT calculation with PBE-GGA was carried out for TcPbF2 after structural relaxation.

Cell: 4.147 4.147 15.919 Å, 90.00 90.00 90.00°
Space group I-42d (No. 122)
Asymmetric unit:
Tc1 0.000 0.000 0.000 (multiplicity 4)
Pb1 0.000 0.000 0.500 (multiplicity 4)
F1 0.190 0.250 0.125 (multiplicity 8)

***

b) A plane-wave DFT calculation with PBE-GGA was carried out for TcPbF2 after structural relaxation.

Cell: 3.1531 3.1531 24.9759 Å, 90.00 90.00 120.00°
Space group R-3m (No. 166, hexagonal axes)
Asymmetric unit:
Tc1 0.0000 0.0000 0.0000 (multiplicity 3)
Pb1 0.0000 0.0000 0.5000 (multiplicity 3)
F1 0.0000 0.0000 0.0800 (multiplicity 6)

***

It comes down to b), which is 0.133 eV/atom more stable than the next structure.

***

a) A plane-wave DFT calculation with PBE-GGA was carried out for Te3PbF after structural relaxation.

Cell: 5.811 5.811 5.811 Å, 90.00 90.00 90.00°
Space group Pm-3m (No. 221)
Asymmetric unit:
Te1 0.000 0.000 0.500 (multiplicity 3)
Pb1 0.000 0.000 0.000 (multiplicity 1)
F1 0.500 0.500 0.500 (multiplicity 1)

***

b) A plane-wave DFT calculation with PBE-GGA was carried out for Te3PbF after structural relaxation.

Cell: 5.098 5.098 5.098 Å, 90.00 90.00 90.00°
Space group Pm-3m (No. 221)
Asymmetric unit:
Te1 0.000 0.000 0.500 (multiplicity 3)
Pb1 0.500 0.500 0.500 (multiplicity 1)
F1 0.000 0.000 0.000 (multiplicity 1)

***

It comes down to b), which is 0.658 eV/atom more stable than the next structure.

***

a) A plane-wave DFT calculation with PBE-GGA was carried out for TePbF2 after structural relaxation.

Cell: 6.712 6.712 6.712 Å, 90.00 90.00 90.00°
Space group Fm-3m (No. 225)
Asymmetric unit:
Te1 0.000 0.000 0.000 (multiplicity 4)
Pb1 0.000 0.000 0.500 (multiplicity 4)
F1 0.250 0.250 0.250 (multiplicity 8)

***

b) A plane-wave DFT calculation with PBE-GGA was carried out for TePbF2 after structural relaxation.

Cell: 3.3980 3.3980 25.7695 Å, 90.00 90.00 120.00°
Space group R-3m (No. 166, hexagonal axes)
Asymmetric unit:
Te1 0.0000 0.0000 0.0000 (multiplicity 3)
Pb1 0.0000 0.0000 0.5000 (multiplicity 3)
F1 0.0000 0.0000 0.0835 (multiplicity 6)

***

c) A plane-wave DFT calculation with PBE-GGA was carried out for TePbF2 after structural relaxation.

Cell: 3.2867 3.2867 26.3821 Å, 90.00 90.00 120.00°
Space group R-3m (No. 166, hexagonal axes)
Asymmetric unit:
Te1 0.0000 0.0000 0.0000 (multiplicity 3)
Pb1 0.0000 0.0000 0.5000 (multiplicity 3)
F1 0.0000 0.0000 0.4108 (multiplicity 6)

***

d) A plane-wave DFT calculation with PBE-GGA was carried out for TePbF2 after structural relaxation.

Cell: 7.374 7.374 6.598 Å, 90.00 90.00 90.00°
Space group I-42d (No. 122)
Asymmetric unit:
Te1 0.000 0.000 0.000 (multiplicity 4)
Pb1 0.000 0.000 0.500 (multiplicity 4)
F1 0.179 0.250 0.625 (multiplicity 8)

***

It comes down to b), which is 0.069 eV/atom more stable than the next structure.

***

a) A plane-wave DFT calculation with PBE-GGA was carried out for TePb3F after structural relaxation.

Cell: 5.249 5.249 5.249 Å, 90.00 90.00 90.00°
Space group Pm-3m (No. 221)
Asymmetric unit:
Te1 0.000 0.000 0.000 (multiplicity 1)
Pb1 0.000 0.500 0.500 (multiplicity 3)
F1 0.500 0.500 0.500 (multiplicity 1)

***

b) A plane-wave DFT calculation with PBE-GGA was carried out for TePb3F after structural relaxation.

Cell: 6.066 6.066 6.066 Å, 90.00 90.00 90.00°
Space group Pm-3m (No. 221)
Asymmetric unit:
Te1 0.000 0.000 0.000 (multiplicity 1)
Pb1 0.000 0.000 0.500 (multiplicity 3)
F1 0.500 0.500 0.500 (multiplicity 1)

***

It comes down to a), which is 0.608 eV/atom more stable than the next structure.

***

a) A plane-wave DFT calculation with PBE-GGA was carried out for Te2PbF after structural relaxation.

Cell: 4.281 4.281 24.134 Å, 90.00 90.00 90.00°
Space group I-42d (No. 122)
Asymmetric unit:
Te1 0.249 0.250 0.125 (multiplicity 8)
Pb1 0.000 0.000 0.500 (multiplicity 4)
F1 0.000 0.000 0.000 (multiplicity 4)

***

b) A plane-wave DFT calculation with PBE-GGA was carried out for Te2PbF after structural relaxation.

Cell: 4.5871 4.5871 16.7122 Å, 90.00 90.00 120.00°
Space group R-3m (No. 166, hexagonal axes)
Asymmetric unit:
Te1 0.0000 0.0000 0.2239 (multiplicity 6)
Pb1 0.0000 0.0000 0.0000 (multiplicity 3)
F1 0.0000 0.0000 0.5000 (multiplicity 3)

***

It comes down to a), which is 0.260 eV/atom more stable than the next structure.

***

a) A plane-wave DFT calculation with PBE-GGA was carried out for Te2PbF after structural relaxation.

Cell: 3.7755 3.7755 27.7860 Å, 90.00 90.00 120.00°
Space group R-3m (No. 166, hexagonal axes)
Asymmetric unit:
Te1 0.0000 0.0000 0.0823 (multiplicity 6)
Pb1 0.0000 0.0000 0.5000 (multiplicity 3)
F1 0.0000 0.0000 0.0000 (multiplicity 3)

***

b) A plane-wave DFT calculation with PBE-GGA was carried out for Te2PbF after structural relaxation.

Cell: 7.388 7.388 7.388 Å, 90.00 90.00 90.00°
Space group Fm-3m (No. 225)
Asymmetric unit:
Te1 0.250 0.250 0.250 (multiplicity 8)
Pb1 0.000 0.000 0.000 (multiplicity 4)
F1 0.000 0.000 0.500 (multiplicity 4)

***

It comes down to a), which is 0.081 eV/atom more stable than the next structure.

***

a) A plane-wave DFT calculation with PBE-GGA was carried out for TiPb2F8 after structural relaxation.

Cell: 10.408 7.665 4.841 Å, 90.00 109.00 90.00°
Space group C2/m (No. 12)
Asymmetric unit:
Ti1 0.000 0.000 0.000 (multiplicity 2)
Pb1 0.158 0.500 0.344 (multiplicity 4)
F1 0.085 0.500 0.812 (multiplicity 4)
F2 0.113 0.175 0.245 (multiplicity 8)
F3 0.117 0.000 0.781 (multiplicity 4)

***

b) A plane-wave DFT calculation with PBE-GGA was carried out for TiPb2F8 after structural relaxation.

Cell: 15.571 3.955 5.389 Å, 90.00 107.39 90.00°
Space group C2/m (No. 12)
Asymmetric unit:
Ti1 0.000 0.000 0.000 (multiplicity 2)
Pb1 0.160 0.500 0.625 (multiplicity 4)
F1 0.001 0.500 0.210 (multiplicity 4)
F2 0.093 0.000 0.330 (multiplicity 4)
F3 0.102 0.000 0.879 (multiplicity 4)
F4 0.236 0.500 0.286 (multiplicity 4)

***

It comes down to a), which is 0.160 eV/atom more stable than the next structure.

***

a) A plane-wave DFT calculation with PBE-GGA was carried out for TlPb2F after structural relaxation.

Cell: 5.583 5.583 16.383 Å, 90.00 90.00 90.00°
Space group I-42d (No. 122)
Asymmetric unit:
Tl1 0.000 0.000 0.000 (multiplicity 4)
Pb1 0.138 0.250 0.625 (multiplicity 8)
F1 0.000 0.000 0.500 (multiplicity 4)

***

b) A plane-wave DFT calculation with PBE-GGA was carried out for TlPb2F after structural relaxation.

Cell: 7.377 7.377 7.377 Å, 90.00 90.00 90.00°
Space group Fm-3m (No. 225)
Asymmetric unit:
Tl1 0.000 0.000 0.000 (multiplicity 4)
Pb1 0.250 0.250 0.250 (multiplicity 8)
F1 0.000 0.000 0.500 (multiplicity 4)

***

It comes down to a), which is 0.025 eV/atom more stable than the next structure.

***

a) A plane-wave DFT calculation with PBE-GGA was carried out for Tl3PbF after structural relaxation.

Cell: 5.264 5.264 5.264 Å, 90.00 90.00 90.00°
Space group Pm-3m (No. 221)
Asymmetric unit:
Tl1 0.000 0.000 0.500 (multiplicity 3)
Pb1 0.500 0.500 0.500 (multiplicity 1)
F1 0.000 0.000 0.000 (multiplicity 1)

***

b) A plane-wave DFT calculation with PBE-GGA was carried out for Tl3PbF after structural relaxation.

Cell: 6.205 6.205 6.205 Å, 90.00 90.00 90.00°
Space group Pm-3m (No. 221)
Asymmetric unit:
Tl1 0.000 0.000 0.500 (multiplicity 3)
Pb1 0.000 0.000 0.000 (multiplicity 1)
F1 0.500 0.500 0.500 (multiplicity 1)

***

It comes down to a), which is 0.496 eV/atom more stable than the next structure.

***

a) A plane-wave DFT calculation with PBE-GGA was carried out for TlPbF after structural relaxation.

Cell: 4.3864 4.3864 4.7327 Å, 90.00 90.00 120.00°
Space group P-6m2 (No. 187)
Asymmetric unit:
Tl1 0.0000 0.0000 0.0000 (multiplicity 1)
Pb1 0.6667 0.3333 0.5000 (multiplicity 1)
F1 0.3333 0.6667 0.5000 (multiplicity 1)

***

b) A plane-wave DFT calculation with PBE-GGA was carried out for TlPbF after structural relaxation.

Cell: 14.352 3.739 6.141 Å, 90.00 90.00 90.00°
Space group Amm2 (No. 38)
Asymmetric unit:
Tl1 0.196 0.000 0.000 (multiplicity 4)
Pb1 0.000 0.000 0.356 (multiplicity 2)
Pb2 0.500 0.000 0.336 (multiplicity 2)
F1 0.405 0.000 0.674 (multiplicity 4)

***

It comes down to b), which is 0.139 eV/atom more stable than the next structure.